Computed, not measured: a geometry-optimized LiCo2PbF8 structure at the GGA+U level of DFT.

Output
uncorrected energy = -4.79 eV/atom
M_tot = 7.00 μB per formula unit

a = 5.021 Å, b = 6.529 Å, c = 5.040 Å
α = 90.00°, β = 93.54°, γ = 90.00°
Sites, in units of the cell vectors:
Li  0.000  0.000  0.000
Co  0.500  0.234  0.500
Co  0.500  0.766  0.500
Pb  0.000  0.500  0.000
F  0.224  0.219  0.216
F  0.224  0.781  0.216
F  0.315  0.000  0.677
F  0.329  0.500  0.660
F  0.671  0.500  0.340
F  0.685  0.000  0.323
F  0.776  0.219  0.784
F  0.776  0.781  0.784